DFT (PBE-GGA) results for an optimized crystal structure of YMn2In.

extended XYZ file:
```
4
Lattice="3.193 0.000 0.000 0.000 3.193 0.000 0.000 0.000 7.559" Properties=species:S:1:pos:R:3 pbc="T T T"
Y 0.000 0.000 0.000
Mn 0.000 0.000 4.336
Mn 1.597 1.597 5.483
In 1.597 1.597 2.472
```

Values from the calculation:
* formation energy from the elements: 0.02 eV/atom
* space-group type: P4mm, No. 99

---

DFT (PBE-GGA) results for an optimized crystal structure of YMn2In.

extended XYZ file:
```
4
Lattice="4.735 -1.617 0.000 4.735 1.617 0.000 -1.201 0.000 5.307" Properties=species:S:1:pos:R:3 pbc="T T T"
Y 0.000 0.000 0.000
Mn 1.446 0.000 3.779
Mn 6.822 0.000 1.529
In 4.134 0.000 2.654
```

Values from the calculation:
* formation energy from the elements: 0.27 eV/atom
* space-group type: C2/m, No. 12

---

DFT (PBE-GGA) results for an optimized crystal structure of YMnIn2.

extended XYZ file:
```
4
Lattice="3.201 -3.206 0.000 3.201 3.206 0.000 0.000 0.000 4.463" Properties=species:S:1:pos:R:3 pbc="T T T"
Y 0.000 0.000 0.000
Mn 3.201 0.000 0.000
In 1.601 1.603 2.231
In 1.601 -1.603 2.231
```

Values from the calculation:
* formation energy from the elements: -0.14 eV/atom
* space-group type: Cmmm, No. 65

---

DFT (PBE-GGA) results for an optimized crystal structure of Y4MnIn.

extended XYZ file:
```
6
Lattice="0.000 4.440 4.440 4.440 0.000 4.440 4.440 4.440 0.000" Properties=species:S:1:pos:R:3 pbc="T T T"
Y 1.111 1.111 1.111
Y 3.328 3.328 1.111
Y 3.328 1.111 3.328
Y 1.111 3.328 3.328
Mn 4.440 4.440 4.440
In 6.660 6.660 6.660
```

Values from the calculation:
* relative energy among the computed polymorphs: 0.593 eV per atom
* formation energy from the elements: 0.48 eV/atom
* space-group type: F-43m, No. 216

---

DFT (PBE-GGA) results for an optimized crystal structure of YMn2In2.

extended XYZ file:
```
10
Lattice="8.102 0.000 0.000 0.000 8.102 0.000 0.000 0.000 3.090" Properties=species:S:1:pos:R:3 pbc="T T T"
Y 0.000 0.000 0.000
Y 4.051 4.051 0.000
Mn 0.954 3.097 0.000
Mn 3.097 7.148 0.000
Mn 5.005 0.954 0.000
Mn 7.148 5.005 0.000
In 1.415 5.466 1.545
In 2.636 1.415 1.545
In 5.466 6.687 1.545
In 6.687 2.636 1.545
```

Values from the calculation:
* relative energy among the computed polymorphs: 0.000 eV per atom
* formation energy from the elements: 0.08 eV/atom
* space-group type: P4/mbm, No. 127

---

DFT (PBE-GGA) results for an optimized crystal structure of YMnIn2.

extended XYZ file:
```
4
Lattice="3.971 -2.302 0.000 3.971 2.302 0.000 -2.667 0.000 5.227" Properties=species:S:1:pos:R:3 pbc="T T T"
Y 0.000 0.000 0.000
Mn 2.637 0.000 2.614
In -0.013 0.000 3.518
In 5.288 0.000 1.709
```

Values from the calculation:
* formation energy from the elements: -0.08 eV/atom
* space-group type: C2/m, No. 12

---

DFT (PBE-GGA) results for an optimized crystal structure of MnZnIn2.

extended XYZ file:
```
4
Lattice="5.969 -1.476 0.000 5.969 1.476 0.000 -1.677 0.000 4.516" Properties=species:S:1:pos:R:3 pbc="T T T"
Mn 0.000 0.000 0.000
Zn 2.427 0.000 3.417
In 5.268 0.000 2.287
In 8.334 0.000 0.798
```

Values from the calculation:
* formation energy from the elements: 0.16 eV/atom
* space-group type: Cm, No. 8

---

DFT (PBE-GGA) results for an optimized crystal structure of MnZnIn2.

extended XYZ file:
```
4
Lattice="0.000 3.451 3.451 3.451 0.000 3.451 3.451 3.451 0.000" Properties=species:S:1:pos:R:3 pbc="T T T"
Mn 0.000 0.000 0.000
Zn 5.176 5.176 5.176
In 1.725 1.725 1.725
In 3.451 3.451 3.451
```

Values from the calculation:
* formation energy from the elements: 0.33 eV/atom
* space-group type: F-43m, No. 216

---

DFT (PBE-GGA) results for an optimized crystal structure of MnZnIn2.

extended XYZ file:
```
4
Lattice="-2.070 2.070 4.498 2.070 -2.070 4.498 2.070 2.070 -4.498" Properties=species:S:1:pos:R:3 pbc="T T T"
Mn 0.000 0.000 0.000
Zn 2.070 0.000 2.249
In 0.000 0.000 4.498
In 0.000 2.070 2.249
```

Values from the calculation:
* formation energy from the elements: 0.21 eV/atom
* space-group type: I-4m2, No. 119

---

DFT (PBE-GGA) results for an optimized crystal structure of MnZnIn3.

extended XYZ file:
```
5
Lattice="5.178 0.000 0.000 0.000 5.178 0.000 0.000 0.000 5.178" Properties=species:S:1:pos:R:3 pbc="T T T"
Mn 0.000 0.000 0.000
Zn 2.589 2.589 2.589
In 0.000 2.589 2.589
In 2.589 0.000 2.589
In 2.589 2.589 0.000
```

Values from the calculation:
* relative energy among the computed polymorphs: 0.241 eV per atom
* formation energy from the elements: 0.62 eV/atom
* space-group type: Pm-3m, No. 221

---

DFT (PBE-GGA) results for an optimized crystal structure of MnZnIn3.

extended XYZ file:
```
5
Lattice="5.126 0.000 0.000 0.000 5.126 0.000 0.000 0.000 5.126" Properties=species:S:1:pos:R:3 pbc="T T T"
Mn 0.000 0.000 0.000
Zn 2.563 2.563 2.563
In 0.000 0.000 2.563
In 0.000 2.563 0.000
In 2.563 0.000 0.000
```

Values from the calculation:
* relative energy among the computed polymorphs: 0.000 eV per atom
* formation energy from the elements: 0.38 eV/atom
* space-group type: Pm-3m, No. 221

---

DFT (PBE-GGA) results for an optimized crystal structure of MnZnIn2.

extended XYZ file:
```
4
Lattice="3.061 0.000 0.000 0.000 3.061 0.000 0.000 0.000 8.496" Properties=species:S:1:pos:R:3 pbc="T T T"
Mn 0.000 0.000 0.000
Zn 1.530 1.530 1.532
In 0.000 0.000 3.782
In 1.530 1.530 6.560
```

Values from the calculation:
* formation energy from the elements: 0.17 eV/atom
* space-group type: P4mm, No. 99

---

DFT (PBE-GGA) results for an optimized crystal structure of MnZnIn2.

extended XYZ file:
```
4
Lattice="3.031 -4.106 0.000 3.031 4.106 0.000 0.000 0.000 3.108" Properties=species:S:1:pos:R:3 pbc="T T T"
Mn 0.000 0.000 0.000
Zn 3.031 0.000 0.000
In 1.516 2.053 1.554
In 1.516 -2.053 1.554
```

Values from the calculation:
* formation energy from the elements: 0.19 eV/atom
* space-group type: Cmmm, No. 65

---

DFT (PBE-GGA) results for an optimized crystal structure of MnZnIn2.

extended XYZ file:
```
4
Lattice="4.783 0.000 0.000 0.000 4.783 0.000 0.000 0.000 3.442" Properties=species:S:1:pos:R:3 pbc="T T T"
Mn 0.000 0.000 0.000
Zn 2.392 2.392 0.000
In 0.000 2.392 1.721
In 2.392 0.000 1.721
```

Values from the calculation:
* formation energy from the elements: 0.22 eV/atom
* space-group type: P4/mmm, No. 123

---

DFT (PBE-GGA) results for an optimized crystal structure of MnZnIn2.

extended XYZ file:
```
4
Lattice="4.295 0.000 0.000 0.000 4.295 0.000 0.000 0.000 4.135" Properties=species:S:1:pos:R:3 pbc="T T T"
Mn 0.000 0.000 0.000
Zn 2.148 2.148 0.000
In 0.000 2.148 2.068
In 2.148 0.000 2.068
```

Values from the calculation:
* formation energy from the elements: 0.18 eV/atom
* space-group type: P4/mmm, No. 123

---

DFT (PBE-GGA) results for an optimized crystal structure of MnZnIn2.

extended XYZ file:
```
4
Lattice="4.585 -1.568 0.000 4.585 1.568 0.000 -1.145 0.000 5.587" Properties=species:S:1:pos:R:3 pbc="T T T"
Mn 0.000 0.000 0.000
Zn 4.013 0.000 2.793
In 1.432 0.000 4.216
In 6.594 0.000 1.371
```

Values from the calculation:
* formation energy from the elements: 0.25 eV/atom
* space-group type: C2/m, No. 12

---

DFT (PBE-GGA) results for an optimized crystal structure of MnZnIn2.

extended XYZ file:
```
4
Lattice="-2.116 2.116 4.316 2.116 -2.116 4.316 2.116 2.116 -4.316" Properties=species:S:1:pos:R:3 pbc="T T T"
Mn 0.000 0.000 0.000
Zn 0.000 0.000 4.316
In 2.116 0.000 2.158
In 0.000 2.116 2.158
```

Values from the calculation:
* formation energy from the elements: 0.22 eV/atom
* space-group type: I4/mmm, No. 139

---

DFT (PBE-GGA) results for an optimized crystal structure of Mn2Zn2In.

extended XYZ file:
```
5
Lattice="-1.805 1.805 6.556 1.805 -1.805 6.556 1.805 1.805 -6.556" Properties=species:S:1:pos:R:3 pbc="T T T"
Mn 0.000 0.000 1.281
Mn 0.000 0.000 11.831
Zn 1.805 0.000 3.278
Zn 0.000 1.805 3.278
In 0.000 0.000 6.556
```

Values from the calculation:
* formation energy from the elements: 0.33 eV/atom
* space-group type: I4/mmm, No. 139

---

DFT (PBE-GGA) results for an optimized crystal structure of MnZn2In2.

extended XYZ file:
```
10
Lattice="6.893 0.000 0.000 0.000 6.893 0.000 0.000 0.000 4.138" Properties=species:S:1:pos:R:3 pbc="T T T"
Mn 0.000 0.000 0.000
Mn 3.446 3.446 0.000
Zn 0.909 2.538 0.000
Zn 2.538 5.984 0.000
Zn 4.355 0.909 0.000
Zn 5.984 4.355 0.000
In 1.217 4.663 2.069
In 2.229 1.217 2.069
In 4.663 5.675 2.069
In 5.675 2.229 2.069
```

Values from the calculation:
* formation energy from the elements: 0.23 eV/atom
* space-group type: P4/mbm, No. 127

---

DFT (PBE-GGA) results for an optimized crystal structure of MnZnIn2.

extended XYZ file:
```
4
Lattice="3.411 0.000 0.000 0.000 4.393 0.000 -1.218 0.000 5.266" Properties=species:S:1:pos:R:3 pbc="T T T"
Mn 0.000 0.000 0.000
Zn 0.067 2.196 1.523
In 0.529 2.196 4.415
In 1.718 0.000 2.426
```

Values from the calculation:
* formation energy from the elements: 0.18 eV/atom
* space-group type: Pm, No. 6

---

DFT (PBE-GGA) results for an optimized crystal structure of MnZnIn2.

extended XYZ file:
```
4
Lattice="1.609 0.929 9.019 -1.609 0.929 9.019 0.000 -1.858 9.019" Properties=species:S:1:pos:R:3 pbc="T T T"
Mn 0.000 0.000 0.000
Zn 0.000 0.000 13.529
In 0.000 0.000 6.802
In 0.000 0.000 20.256
```

Values from the calculation:
* formation energy from the elements: 0.22 eV/atom
* space-group type: R-3m, No. 166

---

DFT (PBE-GGA) results for an optimized crystal structure of MnZnIn2.

extended XYZ file:
```
4
Lattice="3.141 0.000 0.000 0.000 4.069 0.000 -0.018 0.000 5.988" Properties=species:S:1:pos:R:3 pbc="T T T"
Mn 0.000 0.000 0.000
Zn -0.009 0.000 2.994
In 1.562 2.035 1.469
In 1.561 2.035 4.519
```

Values from the calculation:
* formation energy from the elements: 0.21 eV/atom
* space-group type: P2/m, No. 10

---

DFT (PBE-GGA) results for an optimized crystal structure of ZrMnZnIn2.

extended XYZ file:
```
5
Lattice="5.489 0.000 0.000 0.000 5.489 0.000 0.000 0.000 5.086" Properties=species:S:1:pos:R:3 pbc="T T T"
Zr 0.000 0.000 0.000
Mn 2.744 2.744 2.543
Zn 0.000 0.000 2.543
In 0.000 2.744 0.000
In 2.744 0.000 0.000
```

Values from the calculation:
* formation energy from the elements: 1.56 eV/atom
* space-group type: P4/mmm, No. 123

---

DFT (PBE-GGA) results for an optimized crystal structure of ZrMnZn2In.

extended XYZ file:
```
5
Lattice="5.693 0.000 0.000 0.000 5.693 0.000 0.000 0.000 4.990" Properties=species:S:1:pos:R:3 pbc="T T T"
Zr 0.000 0.000 0.000
Mn 0.000 0.000 2.495
Zn 0.000 2.847 0.000
Zn 2.847 0.000 0.000
In 2.847 2.847 2.495
```

Values from the calculation:
* formation energy from the elements: 1.25 eV/atom
* space-group type: P4/mmm, No. 123

---

DFT (PBE-GGA) results for an optimized crystal structure of Zr6MnIn3.

extended XYZ file:
```
10
Lattice="5.227 -2.888 0.000 5.227 2.888 0.000 -2.005 0.000 7.345" Properties=species:S:1:pos:R:3 pbc="T T T"
Zr 2.444 1.474 4.932
Zr -0.378 0.000 6.686
Zr 6.005 1.474 2.413
Zr 2.444 -1.474 4.932
Zr 8.827 0.000 0.660
Zr 6.005 -1.474 2.413
Mn -1.003 0.000 3.673
In 3.350 0.000 2.251
In 5.227 0.000 0.000
In 5.099 0.000 5.094
```

Values from the calculation:
* formation energy from the elements: 0.04 eV/atom
* space-group type: C2/m, No. 12

---

DFT (PBE-GGA) results for an optimized crystal structure of ZrMn2In2.

extended XYZ file:
```
10
Lattice="6.939 0.000 0.000 0.000 6.939 0.000 0.000 0.000 3.850" Properties=species:S:1:pos:R:3 pbc="T T T"
Zr 0.000 0.000 0.000
Zr 3.469 3.469 0.000
Mn 0.876 2.593 0.000
Mn 2.593 6.062 0.000
Mn 4.345 0.876 0.000
Mn 6.062 4.345 0.000
In 1.175 4.644 1.925
In 2.295 1.175 1.925
In 4.644 5.764 1.925
In 5.764 2.295 1.925
```

Values from the calculation:
* relative energy among the computed polymorphs: 0.000 eV per atom
* formation energy from the elements: 0.19 eV/atom
* space-group type: P4/mbm, No. 127

---

DFT (PBE-GGA) results for an optimized crystal structure of Zr2MnIn.

extended XYZ file:
```
4
Lattice="4.345 0.000 0.000 0.000 4.345 0.000 0.000 0.000 4.296" Properties=species:S:1:pos:R:3 pbc="T T T"
Zr 0.000 2.173 0.000
Zr 2.173 0.000 0.000
Mn 0.000 0.000 2.148
In 2.173 2.173 2.148
```

Values from the calculation:
* formation energy from the elements: -0.08 eV/atom
* space-group type: P4/mmm, No. 123

---

DFT (PBE-GGA) results for an optimized crystal structure of Zr3MnIn.

extended XYZ file:
```
5
Lattice="4.841 0.000 0.000 0.000 4.841 0.000 0.000 0.000 4.841" Properties=species:S:1:pos:R:3 pbc="T T T"
Zr 0.000 0.000 2.421
Zr 0.000 2.421 0.000
Zr 2.421 0.000 0.000
Mn 0.000 0.000 0.000
In 2.421 2.421 2.421
```

Values from the calculation:
* relative energy among the computed polymorphs: 0.000 eV per atom
* formation energy from the elements: 0.19 eV/atom
* space-group type: Pm-3m, No. 221

---

DFT (PBE-GGA) results for an optimized crystal structure of Zr3MnIn.

extended XYZ file:
```
5
Lattice="5.223 0.000 0.000 0.000 5.223 0.000 0.000 0.000 5.223" Properties=species:S:1:pos:R:3 pbc="T T T"
Zr 0.000 0.000 2.612
Zr 0.000 2.612 0.000
Zr 2.612 0.000 0.000
Mn 2.612 2.612 2.612
In 0.000 0.000 0.000
```

Values from the calculation:
* relative energy among the computed polymorphs: 1.561 eV per atom
* formation energy from the elements: 1.75 eV/atom
* space-group type: Pm-3m, No. 221

---

Number 1: total magnetization 0.26 μB per atom. Number 2: total magnetization 1.60 μB per atom. Number 3: total magnetization 1.03 μB per atom. Number 4: total magnetization 0.73 μB per atom. Number 5: total magnetization 1.29 μB per atom. Number 6: total magnetization 0.89 μB per atom. Number 7: total magnetization 0.79 μB per atom. Number 8: total magnetization 0.98 μB per atom. Number 9: total magnetization 0.84 μB per atom. Number 10: total magnetization 0.94 μB per atom. Number 11: total magnetization 0.41 μB per atom. Number 12: total magnetization 0.85 μB per atom. Number 13: total magnetization 0.90 μB per atom. Number 14: total magnetization 0.92 μB per atom. Number 15: total magnetization 0.88 μB per atom. Number 16: total magnetization 0.92 μB per atom. Number 17: total magnetization 0.85 μB per atom. Number 18: total magnetization 1.33 μB per atom. Number 19: total magnetization 0.74 μB per atom. Number 20: total magnetization 0.85 μB per atom. Number 21: total magnetization 0.96 μB per atom. Number 22: total magnetization 0.80 μB per atom. Number 23: total magnetization 0.24 μB per atom. Number 24: total magnetization 0.05 μB per atom. Number 25: total magnetization 0.05 μB per atom. Number 26: total magnetization 0.83 μB per atom. Number 27: total magnetization 0.69 μB per atom. Number 28: total magnetization 0.00 μB per atom. Number 29: total magnetization 0.09 μB per atom.